# 1
First-principles (PBE) data for a relaxed structure of Ac5TmPb4, as listed in Alexandria.

```
10
Lattice="10.415 -2.177 0.000 10.415 2.177 0.000 -2.802 0.000 9.149" Properties=species:S:1:pos:R:3 pbc="T T T"
Ac 0.000 0.000 0.000
Ac 6.534 0.000 1.259
Ac 4.996 0.000 6.236
Ac 13.032 0.000 2.912
Ac 11.495 0.000 7.890
Tm -1.401 0.000 4.574
Pb 1.710 0.000 5.382
Pb 9.670 0.000 2.439
Pb 8.359 0.000 6.710
Pb 16.319 0.000 3.766
```

Calculated values
calculated density = 8.536 Mg/m³
magnetic moment = 0.00 μB/f.u.
total energy = -42.03 eV/f.u.
space group = C2/m, No. 12


# 2
First-principles (PBE) data for a relaxed structure of AcYTmPb, as listed in Alexandria.

```
4
Lattice="0.000 3.959 3.959 3.959 0.000 3.959 3.959 3.959 0.000" Properties=species:S:1:pos:R:3 pbc="T T T"
Ac 0.000 0.000 0.000
Y 1.980 1.980 1.980
Tm 5.939 5.939 5.939
Pb 3.959 3.959 3.959
```

Calculated values
calculated density = 9.258 Mg/m³
magnetic moment = 0.00 μB/f.u.
total energy = -18.89 eV/f.u.
space group = F-43m, No. 216


# 3
First-principles (PBE) data for a relaxed structure of AcTmZnPb, as listed in Alexandria.

```
4
Lattice="0.000 3.873 3.873 3.873 0.000 3.873 3.873 3.873 0.000" Properties=species:S:1:pos:R:3 pbc="T T T"
Ac 0.000 0.000 0.000
Tm 3.873 3.873 3.873
Zn 1.937 1.937 1.937
Pb 5.810 5.810 5.810
```

Calculated values
calculated density = 9.554 Mg/m³
magnetic moment = 0.00 μB/f.u.
total energy = -14.73 eV/f.u.
space group = F-43m, No. 216


# 4
First-principles (PBE) data for a relaxed structure of AcUPb2, as listed in Alexandria.

```
4
Lattice="1.729 0.998 12.574 -1.729 0.998 12.574 0.000 -1.997 12.574" Properties=species:S:1:pos:R:3 pbc="T T T"
Ac 0.000 0.000 0.000
U 0.000 0.000 18.861
Pb 0.000 0.000 3.459
Pb 0.000 0.000 34.263
```

Calculated values
calculated density = 11.214 Mg/m³
magnetic moment = 3.08 μB/f.u.
total energy = -21.36 eV/f.u.
space group = R-3m, No. 166


# 5
First-principles (PBE) data for a relaxed structure of Ac2VPb, as listed in Alexandria.

```
4
Lattice="1.822 1.052 11.947 -1.822 1.052 11.947 0.000 -2.104 11.947" Properties=species:S:1:pos:R:3 pbc="T T T"
Ac 0.000 0.000 3.030
Ac 0.000 0.000 32.811
V 0.000 0.000 0.000
Pb 0.000 0.000 17.921
```

Calculated values
calculated density = 8.610 Mg/m³
magnetic moment = 3.59 μB/f.u.
total energy = -18.57 eV/f.u.
space group = R-3m, No. 166


# 6
First-principles (PBE) data for a relaxed structure of AcYPb, as listed in Alexandria.

```
6
Lattice="-2.429 2.429 8.989 2.429 -2.429 8.989 2.429 2.429 -8.989" Properties=species:S:1:pos:R:3 pbc="T T T"
Ac 0.000 0.000 3.172
Ac 0.000 0.000 14.806
Y 2.429 0.000 0.000
Y 0.000 2.429 0.000
Pb 0.000 0.000 6.737
Pb 0.000 0.000 11.241
```

Calculated values
energy above the most stable polymorph in this dataset = 0 meV/atom
calculated density = 8.187 Mg/m³
magnetic moment = 0.83 μB/f.u.
total energy = -15.70 eV/f.u.
space group = I4/mmm, No. 139


# 7
First-principles (PBE) data for a relaxed structure of Ac3YPb5, as listed in Alexandria.

```
18
Lattice="10.095 0.000 0.000 -5.047 8.742 0.000 0.000 0.000 6.914" Properties=species:S:1:pos:R:3 pbc="T T T"
Ac -1.931 3.345 1.728
Ac -3.116 5.397 5.185
Ac 3.862 0.000 1.728
Ac 1.931 3.345 5.185
Ac 6.232 0.000 5.185
Ac 3.116 5.397 1.728
Y 0.000 0.000 0.000
Y 0.000 0.000 3.457
Pb -1.389 2.407 5.185
Pb -3.658 6.335 1.728
Pb 2.779 0.000 5.185
Pb 1.389 2.407 1.728
Pb 0.000 5.828 0.000
Pb 0.000 5.828 3.457
Pb 5.047 2.914 0.000
Pb 5.047 2.914 3.457
Pb 7.316 0.000 1.728
Pb 3.658 6.335 5.185
```

Calculated values
calculated density = 9.830 Mg/m³
magnetic moment = 0.00 μB/f.u.
total energy = -41.78 eV/f.u.
space group = P6_3/mcm, No. 193


# 8
First-principles (PBE) data for a relaxed structure of Ac3YPb4, as listed in Alexandria.

```
8
Lattice="4.029 -6.760 0.000 4.029 6.760 0.000 0.000 0.000 5.484" Properties=species:S:1:pos:R:3 pbc="T T T"
Ac 0.000 0.000 0.000
Ac 2.014 3.380 2.742
Ac 2.014 -3.380 2.742
Y 4.029 0.000 0.000
Pb 4.029 3.225 0.000
Pb 2.272 0.000 2.742
Pb 5.785 0.000 2.742
Pb 4.029 -3.225 0.000
```

Calculated values
calculated density = 8.887 Mg/m³
magnetic moment = 0.00 μB/f.u.
total energy = -36.94 eV/f.u.
space group = Cmmm, No. 65


# 9
First-principles (PBE) data for a relaxed structure of Ac2YPb3, as listed in Alexandria.

```
12
Lattice="8.499 -3.377 0.000 8.499 3.377 0.000 -1.806 0.000 7.627" Properties=species:S:1:pos:R:3 pbc="T T T"
Ac 2.719 0.012 0.645
Ac 1.816 -0.012 4.458
Ac 13.376 0.012 3.169
Ac 12.473 -0.012 6.982
Y 8.047 0.034 1.907
Y 7.144 -0.034 5.720
Pb 7.144 3.337 5.720
Pb 5.078 0.012 3.216
Pb 4.175 -0.012 7.030
Pb 11.017 0.012 0.597
Pb 10.114 -0.012 4.410
Pb 8.047 -3.337 1.907
```

Calculated values
energy above the most stable polymorph in this dataset = 85 meV/atom
calculated density = 8.833 Mg/m³
magnetic moment = 0.00 μB/f.u.
total energy = -28.13 eV/f.u.
space group = C2/c, No. 15


# 10
First-principles (PBE) data for a relaxed structure of Ac3YPb12, as listed in Alexandria.

```
16
Lattice="5.044 0.000 0.000 0.000 5.044 0.000 0.000 0.000 19.886" Properties=species:S:1:pos:R:3 pbc="T T T"
Ac 0.000 0.000 0.000
Ac 0.000 0.000 5.086
Ac 0.000 0.000 14.800
Y 0.000 0.000 9.943
Pb 0.000 2.522 2.543
Pb 0.000 2.522 7.626
Pb 0.000 2.522 12.260
Pb 0.000 2.522 17.343
Pb 2.522 0.000 2.543
Pb 2.522 0.000 7.626
Pb 2.522 0.000 12.260
Pb 2.522 0.000 17.343
Pb 2.522 2.522 0.000
Pb 2.522 2.522 5.067
Pb 2.522 2.522 9.943
Pb 2.522 2.522 14.819
```

Calculated values
calculated density = 10.686 Mg/m³
magnetic moment = 0.00 μB/f.u.
total energy = -69.45 eV/f.u.
space group = P4/mmm, No. 123


# 11
First-principles (PBE) data for a relaxed structure of Ac2YPb, as listed in Alexandria.

```
4
Lattice="5.208 0.000 0.000 0.000 5.208 0.000 0.000 0.000 5.227" Properties=species:S:1:pos:R:3 pbc="T T T"
Ac 0.000 2.604 0.000
Ac 2.604 0.000 0.000
Y 0.000 0.000 2.614
Pb 2.604 2.604 2.614
```

Calculated values
energy above the most stable polymorph in this dataset = 0 meV/atom
calculated density = 8.785 Mg/m³
magnetic moment = 0.00 μB/f.u.
total energy = -19.31 eV/f.u.
space group = P4/mmm, No. 123


# 12
First-principles (PBE) data for a relaxed structure of Ac2YPb, as listed in Alexandria.

```
4
Lattice="4.504 0.000 0.000 0.000 4.504 0.000 0.000 0.000 7.312" Properties=species:S:1:pos:R:3 pbc="T T T"
Ac 0.000 0.000 1.710
Ac 0.000 0.000 5.602
Y 2.252 2.252 3.656
Pb 2.252 2.252 0.000
```

Calculated values
energy above the most stable polymorph in this dataset = 35 meV/atom
calculated density = 8.396 Mg/m³
magnetic moment = 0.00 μB/f.u.
total energy = -19.17 eV/f.u.
space group = P4/mmm, No. 123


# 13
First-principles (PBE) data for a relaxed structure of AcYPb, as listed in Alexandria.

```
3
Lattice="5.260 0.000 0.000 -2.630 4.556 0.000 0.000 0.000 4.539" Properties=species:S:1:pos:R:3 pbc="T T T"
Ac 0.000 0.000 0.000
Y 2.630 1.519 2.270
Pb 0.000 3.037 2.270
```

Calculated values
energy above the most stable polymorph in this dataset = 190 meV/atom
calculated density = 7.985 Mg/m³
magnetic moment = 0.00 μB/f.u.
total energy = -15.13 eV/f.u.
space group = P-6m2, No. 187


# 14
First-principles (PBE) data for a relaxed structure of Ac6YPb10, as listed in Alexandria.

```
17
Lattice="10.009 0.000 0.000 -5.004 8.668 0.000 0.000 0.000 6.859" Properties=species:S:1:pos:R:3 pbc="T T T"
Ac -1.955 3.387 1.798
Ac -3.049 5.281 5.061
Ac 3.911 0.000 1.798
Ac 1.955 3.387 5.061
Ac 6.098 0.000 5.061
Ac 3.049 5.281 1.798
Y 0.000 0.000 3.429
Pb -1.203 2.084 5.545
Pb -3.801 6.584 1.313
Pb 2.407 0.000 5.545
Pb 1.203 2.084 1.313
Pb 0.000 5.779 0.000
Pb 0.000 5.779 3.429
Pb 5.004 2.889 0.000
Pb 5.004 2.889 3.429
Pb 7.602 0.000 1.313
Pb 3.801 6.584 5.545
```

Calculated values
calculated density = 9.832 Mg/m³
magnetic moment = 0.00 μB/f.u.
total energy = -75.05 eV/f.u.
space group = P-31m, No. 162


# 15
First-principles (PBE) data for a relaxed structure of Ac2YPb, as listed in Alexandria.

```
4
Lattice="1.906 1.100 12.856 -1.906 1.100 12.856 0.000 -2.201 12.856" Properties=species:S:1:pos:R:3 pbc="T T T"
Ac 0.000 0.000 3.427
Ac 0.000 0.000 35.140
Y 0.000 0.000 19.284
Pb 0.000 0.000 0.000
```

Calculated values
energy above the most stable polymorph in this dataset = 333 meV/atom
calculated density = 7.699 Mg/m³
magnetic moment = 0.00 μB/f.u.
total energy = -17.98 eV/f.u.
space group = R-3m, No. 166


# 16
First-principles (PBE) data for a relaxed structure of AcYPb, as listed in Alexandria.

```
3
Lattice="0.000 3.862 3.862 3.862 0.000 3.862 3.862 3.862 0.000" Properties=species:S:1:pos:R:3 pbc="T T T"
Ac 0.000 0.000 0.000
Y 3.862 3.862 3.862
Pb 5.793 5.793 5.793
```

Calculated values
energy above the most stable polymorph in this dataset = 279 meV/atom
calculated density = 7.540 Mg/m³
magnetic moment = 0.05 μB/f.u.
total energy = -14.87 eV/f.u.
space group = F-43m, No. 216


# 17
First-principles (PBE) data for a relaxed structure of Ac2YPb, as listed in Alexandria.

```
4
Lattice="0.000 4.195 4.195 4.195 0.000 4.195 4.195 4.195 0.000" Properties=species:S:1:pos:R:3 pbc="T T T"
Ac 2.097 2.097 2.097
Ac 6.292 6.292 6.292
Y 0.000 0.000 0.000
Pb 4.195 4.195 4.195
```

Calculated values
energy above the most stable polymorph in this dataset = 148 meV/atom
calculated density = 8.439 Mg/m³
magnetic moment = 0.00 μB/f.u.
total energy = -18.72 eV/f.u.
space group = Fm-3m, No. 225


# 18
First-principles (PBE) data for a relaxed structure of AcY3Pb3, as listed in Alexandria.

```
14
Lattice="9.543 0.000 0.000 -4.772 8.265 0.000 0.000 0.000 5.623" Properties=species:S:1:pos:R:3 pbc="T T T"
Ac 0.000 5.510 1.406
Ac 4.772 2.755 4.217
Y -3.638 6.361 1.406
Y 1.082 1.934 1.406
Y 2.216 0.030 4.217
Y 2.556 8.235 1.406
Y 3.690 6.331 4.217
Y 8.409 1.904 4.217
Pb -2.310 5.230 4.217
Pb 1.397 3.649 4.217
Pb 3.859 0.615 1.406
Pb 0.913 7.650 4.217
Pb 3.375 4.616 1.406
Pb 7.082 3.035 1.406
```

Calculated values
calculated density = 8.352 Mg/m³
magnetic moment = 0.00 μB/f.u.
total energy = -37.43 eV/f.u.
space group = P6_3/m, No. 176


# 19
First-principles (PBE) data for a relaxed structure of AcYPb, as listed in Alexandria.

```
6
Lattice="4.866 0.000 0.000 0.000 4.866 0.000 0.000 0.000 8.972" Properties=species:S:1:pos:R:3 pbc="T T T"
Ac 1.216 1.216 1.328
Ac 3.649 3.649 7.644
Y 1.216 3.649 4.486
Y 3.649 1.216 4.486
Pb 1.216 1.216 6.718
Pb 3.649 3.649 2.254
```

Calculated values
energy above the most stable polymorph in this dataset = 27 meV/atom
calculated density = 8.179 Mg/m³
magnetic moment = 1.21 μB/f.u.
total energy = -15.62 eV/f.u.
space group = P4/nmm, No. 129


# 20
First-principles (PBE) data for a relaxed structure of Ac3YPb3, as listed in Alexandria.

```
14
Lattice="4.616 -6.919 0.000 4.616 6.919 0.000 -0.662 0.000 8.727" Properties=species:S:1:pos:R:3 pbc="T T T"
Ac 4.616 4.674 0.000
Ac 4.285 3.669 4.363
Ac 3.523 0.000 1.398
Ac 5.047 0.000 7.329
Ac 4.285 -3.669 4.363
Ac 4.616 -4.674 0.000
Y 1.819 0.000 5.217
Y 6.751 0.000 3.510
Pb 0.453 0.000 2.521
Pb 2.344 2.411 6.943
Pb 2.344 -2.411 6.943
Pb 6.226 2.411 1.784
Pb 6.226 -2.411 1.784
Pb 8.117 0.000 6.206
```

Calculated values
calculated density = 8.290 Mg/m³
magnetic moment = 0.00 μB/f.u.
total energy = -32.31 eV/f.u.
space group = C2/m, No. 12


# 21
First-principles (PBE) data for a relaxed structure of AcYPb, as listed in Alexandria.

```
3
Lattice="-2.114 2.114 5.697 2.114 -2.114 5.697 2.114 2.114 -5.697" Properties=species:S:1:pos:R:3 pbc="T T T"
Ac 0.000 0.000 0.000
Y 0.000 0.000 7.959
Pb 0.000 0.000 3.634
```

Calculated values
energy above the most stable polymorph in this dataset = 223 meV/atom
calculated density = 8.533 Mg/m³
magnetic moment = 0.15 μB/f.u.
total energy = -15.03 eV/f.u.
space group = I4mm, No. 107


# 22
First-principles (PBE) data for a relaxed structure of Ac2YPb3, as listed in Alexandria.

```
12
Lattice="5.991 0.000 0.000 0.000 7.540 0.000 -1.517 0.000 8.808" Properties=species:S:1:pos:R:3 pbc="T T T"
Ac 0.000 0.000 0.000
Ac 0.000 3.770 0.000
Ac 1.126 0.000 5.971
Ac 3.349 0.000 2.838
Y 1.151 3.770 5.910
Y 3.323 3.770 2.898
Pb 0.344 2.045 3.104
Pb 0.344 5.495 3.104
Pb 2.996 2.018 0.000
Pb 2.996 5.522 0.000
Pb 4.130 2.045 5.704
Pb 4.130 5.495 5.704
```

Calculated values
energy above the most stable polymorph in this dataset = 0 meV/atom
calculated density = 9.720 Mg/m³
magnetic moment = 0.00 μB/f.u.
total energy = -28.64 eV/f.u.
space group = P2/m, No. 10


# 23
First-principles (PBE) data for a relaxed structure of Ac4YPb5, as listed in Alexandria.

```
10
Lattice="3.826 0.000 0.000 0.000 3.826 0.000 0.000 0.000 23.241" Properties=species:S:1:pos:R:3 pbc="T T T"
Ac 0.000 0.000 2.396
Ac 0.000 0.000 7.177
Ac 0.000 0.000 16.064
Ac 0.000 0.000 20.845
Y 0.000 0.000 11.621
Pb 1.913 1.913 0.000
Pb 1.913 1.913 4.784
Pb 1.913 1.913 9.568
Pb 1.913 1.913 13.673
Pb 1.913 1.913 18.457
```

Calculated values
calculated density = 9.921 Mg/m³
magnetic moment = 0.00 μB/f.u.
total energy = -46.21 eV/f.u.
space group = P4/mmm, No. 123


# 24
First-principles (PBE) data for a relaxed structure of AcYPb, as listed in Alexandria.

```
6
Lattice="4.808 0.000 0.000 0.000 4.808 0.000 0.000 0.000 8.997" Properties=species:S:1:pos:R:3 pbc="T T T"
Ac 1.202 3.606 0.000
Ac 3.606 1.202 0.000
Y 1.202 1.202 3.179
Y 3.606 3.606 5.818
Pb 1.202 1.202 6.309
Pb 3.606 3.606 2.688
```

Calculated values
energy above the most stable polymorph in this dataset = 187 meV/atom
calculated density = 8.351 Mg/m³
magnetic moment = 0.00 μB/f.u.
total energy = -15.14 eV/f.u.
space group = P4/nmm, No. 129


# 25
First-principles (PBE) data for a relaxed structure of AcY2Pb2, as listed in Alexandria.

```
5
Lattice="-2.455 2.455 7.008 2.455 -2.455 7.008 2.455 2.455 -7.008" Properties=species:S:1:pos:R:3 pbc="T T T"
Ac 0.000 0.000 0.000
Y 2.455 0.000 3.504
Y 0.000 2.455 3.504
Pb 0.000 0.000 5.491
Pb 0.000 0.000 8.526
```

Calculated values
calculated density = 8.054 Mg/m³
magnetic moment = 0.66 μB/f.u.
total energy = -26.54 eV/f.u.
space group = I4/mmm, No. 139


| no. | ΔH_f (0 K) (kJ/mol of atoms) | DOS(E_F) (states/eV per atom) |
| --- | --- | --- |
| 1 | -21 | 1.154 |
| 2 | -3 | 1.702 |
| 3 | -28 | 0.874 |
| 4 | 35 | 2.295 |
| 5 | 60 | 1.133 |
| 6 | -46 | 0.957 |
| 7 | -48 | 1.054 |
| 8 | -40 | 0.808 |
| 9 | -37 | 0.851 |
| 10 | -37 | 0.435 |
| 11 | -22 | 1.334 |
| 12 | -19 | 1.153 |
| 13 | -27 | 0.466 |
| 14 | -39 | 0.915 |
| 15 | 10 | 1.084 |
| 16 | -19 | 1.369 |
| 17 | -8 | 1.471 |
| 18 | -39 | 1.162 |
| 19 | -43 | 1.101 |
| 20 | -33 | 0.704 |
| 21 | -24 | 1.623 |
| 22 | -46 | 0.821 |
| 23 | -46 | 0.773 |
| 24 | -28 | 1.108 |
| 25 | -40 | 0.967 |